Entry from Alexandria via LeMat-Bulk: an optimized crystal structure of Ce2PaIn (PBE-GGA).

Cell: 3.1762 3.1762 10.1521 Å, 90.00 90.00 90.00°
Space group P4/mmm (No. 123)
One atom of each set of equivalent atoms:
Ce1 0.0000 0.0000 0.2453 (multiplicity 2)
Pa1 0.5000 0.5000 0.0000 (multiplicity 1)
In1 0.5000 0.5000 0.5000 (multiplicity 1)

Output
Calculated volume, Å³ per atom: 25.60
Energy of formation, meV/atom: -126
Excess energy over the best structure of this formula in the dataset, eV per formula unit: 0.00